a) Computed, not measured: a relaxed structure of Er4IrPt2 at the PBE-GGA level of DFT.

a = 7.459 Å, b = 7.469 Å, c = 7.520 Å
α = 106.31°, β = 110.10°, γ = 111.71°
Space group P1 (No. 1)
Unique sites:
Er (0.000, 0.000, 0.000) (multiplicity 1)
Er (0.014, 0.453, 0.943) (multiplicity 1)
Er (0.127, 0.202, 0.552) (multiplicity 1)
Er (0.387, 0.719, 0.583) (multiplicity 1)
Er (0.499, 0.121, 0.397) (multiplicity 1)
Er (0.528, 0.224, 0.975) (multiplicity 1)
Er (0.602, 0.751, 0.130) (multiplicity 1)
Er (0.878, 0.649, 0.527) (multiplicity 1)
Ir (0.266, 0.820, 0.924) (multiplicity 1)
Ir (0.775, 0.992, 0.604) (multiplicity 1)
Pt (0.059, 0.803, 0.282) (multiplicity 1)
Pt (0.399, 0.426, 0.245) (multiplicity 1)
Pt (0.621, 0.506, 0.763) (multiplicity 1)
Pt (0.950, 0.336, 0.264) (multiplicity 1)

b) Computed, not measured: a relaxed structure of Er4IrPt2 at the PBE-GGA level of DFT.

a = 4.8313 Å, b = 4.8313 Å, c = 23.7919 Å
α = 90.00°, β = 90.00°, γ = 120.00°
Space group R-3m (No. 166, hexagonal axes)
Unique sites:
Er (0.0000, 0.0000, 0.1238) (multiplicity 6)
Er (0.0000, 0.0000, 0.3741) (multiplicity 6)
Ir (0.0000, 0.0000, 0.0000) (multiplicity 3)
Pt (0.0000, 0.0000, 0.2482) (multiplicity 6)

Quick one: least stable of them? a)

a) Computed, not measured: a relaxed structure of Er8IrPt2 at the PBE-GGA level of DFT.

a = 17.171 Å, b = 4.958 Å, c = 6.722 Å
α = 90.00°, β = 106.23°, γ = 90.00°
Space group C2/m (No. 12)
Unique sites:
Er (0.032, 0.000, 0.292) (multiplicity 4)
Er (0.092, 0.500, 0.942) (multiplicity 4)
Er (0.165, 0.500, 0.468) (multiplicity 4)
Er (0.205, 0.000, 0.814) (multiplicity 4)
Ir (0.000, 0.500, 0.500) (multiplicity 2)
Pt (0.188, 0.000, 0.214) (multiplicity 4)

b) Computed, not measured: a relaxed structure of Er8IrPt2 at the PBE-GGA level of DFT.

a = 8.388 Å, b = 12.534 Å, c = 5.902 Å
α = 90.00°, β = 109.60°, γ = 90.00°
Space group Cm (No. 8)
Unique sites:
Er (0.000, 0.000, 0.000) (multiplicity 2)
Er (0.062, 0.372, 0.769) (multiplicity 4)
Er (0.150, 0.128, 0.569) (multiplicity 4)
Er (0.209, 0.500, 0.358) (multiplicity 2)
Er (0.353, 0.212, 0.180) (multiplicity 4)
Ir (0.354, 0.000, 0.349) (multiplicity 2)
Pt (0.358, 0.313, 0.678) (multiplicity 4)

Quick one: least stable of them? b)

a) Computed, not measured: a relaxed structure of TbErIrPt at the PBE-GGA level of DFT.

a = 6.904 Å, b = 6.904 Å, c = 6.904 Å
α = 90.00°, β = 90.00°, γ = 90.00°
Space group F-43m (No. 216)
Unique sites:
Tb (0.000, 0.000, 0.000) (multiplicity 4)
Er (0.000, 0.000, 0.500) (multiplicity 4)
Ir (0.250, 0.250, 0.250) (multiplicity 4)
Pt (0.250, 0.250, 0.750) (multiplicity 4)

b) Computed, not measured: a relaxed structure of TbErIrPt at the PBE-GGA level of DFT.

a = 3.449 Å, b = 3.449 Å, c = 6.922 Å
α = 90.00°, β = 90.00°, γ = 90.00°
Space group P4mm (No. 99)
Unique sites:
Tb (0.000, 0.000, 0.000) (multiplicity 1)
Er (0.000, 0.000, 0.515) (multiplicity 1)
Ir (0.500, 0.500, 0.753) (multiplicity 1)
Pt (0.500, 0.500, 0.264) (multiplicity 1)

Quick one: least stable of them? a)

a) Computed, not measured: a relaxed structure of ErTmIrPt at the PBE-GGA level of DFT.

a = 6.842 Å, b = 6.842 Å, c = 6.842 Å
α = 90.00°, β = 90.00°, γ = 90.00°
Space group F-43m (No. 216)
Unique sites:
Er (0.000, 0.000, 0.000) (multiplicity 4)
Tm (0.000, 0.000, 0.500) (multiplicity 4)
Ir (0.250, 0.250, 0.750) (multiplicity 4)
Pt (0.250, 0.250, 0.250) (multiplicity 4)

b) Computed, not measured: a relaxed structure of ErTmIrPt at the PBE-GGA level of DFT.

a = 3.415 Å, b = 3.415 Å, c = 6.869 Å
α = 90.00°, β = 90.00°, γ = 90.00°
Space group P4mm (No. 99)
Unique sites:
Er (0.000, 0.000, 0.000) (multiplicity 1)
Tm (0.000, 0.000, 0.515) (multiplicity 1)
Ir (0.500, 0.500, 0.756) (multiplicity 1)
Pt (0.500, 0.500, 0.259) (multiplicity 1)

Quick one: least stable of them? a)